A plane-wave DFT calculation with PBE was carried out for Pa2AlGa2Ir5 after structural relaxation.

```
Pa2AlGa2Ir5
1.0
9.639 0.000 0.000
0.000 9.639 0.000
0.000 0.000 3.722
Pa Al Ga Ir
4 2 4 10
direct
0.177 0.323 0.000 Pa
0.323 0.823 0.000 Pa
0.677 0.177 0.000 Pa
0.823 0.677 0.000 Pa
0.000 0.000 0.000 Al
0.500 0.500 0.000 Al
0.121 0.621 0.000 Ga
0.379 0.121 0.000 Ga
0.621 0.879 0.000 Ga
0.879 0.379 0.000 Ga
0.000 0.500 0.500 Ir
0.071 0.796 0.500 Ir
0.204 0.071 0.500 Ir
0.296 0.571 0.500 Ir
0.429 0.296 0.500 Ir
0.500 0.000 0.500 Ir
0.571 0.704 0.500 Ir
0.704 0.429 0.500 Ir
0.796 0.929 0.500 Ir
0.929 0.204 0.500 Ir
```

Properties
Energy of formation from the pure elements   -0.558 eV/atom
Uncorrected energy   -0.5783 Ry/atom
Volume   17.29 Å³ per atom
ρ   15.3 g/cm3

---

A plane-wave DFT calculation with PBE was carried out for La2AgAuN after structural relaxation.

```
La2AgAuN
1.0
5.092 0.000 0.000
0.000 5.092 0.000
0.000 0.000 4.377
La Ag Au N
2 1 1 1
direct
0.000 0.500 0.000 La
0.500 0.000 0.000 La
0.000 0.000 0.500 Ag
0.500 0.500 0.500 Au
0.000 0.000 0.000 N
```

Properties
Uncorrected energy   -0.4047 Ry/atom
Volume   22.70 Å³ per atom
ρ   8.7 g/cm3
Formation energy from raw total energies   -0.645 eV per atom

---

A plane-wave DFT calculation with PBE was carried out for HoSn3Rh4 after structural relaxation.

```
HoSn3Rh4
1.0
2.322 1.341 7.674
-2.322 1.341 7.674
0.000 -2.681 7.674
Ho Sn Rh
1 3 4
direct
0.000 0.000 0.000 Ho
0.254 0.254 0.254 Sn
0.500 0.500 0.500 Sn
0.746 0.746 0.746 Sn
0.130 0.130 0.130 Rh
0.386 0.386 0.386 Rh
0.614 0.614 0.614 Rh
0.870 0.870 0.870 Rh
```

Properties
Energy of formation from the pure elements   -0.589 eV/atom
Uncorrected energy   -0.4659 Ry/atom
Volume   17.92 Å³ per atom
ρ   10.8 g/cm3

---

A plane-wave DFT calculation with PBE was carried out for RuPt2Rh after structural relaxation.

```
RuPt2Rh
1.0
-3.487 3.487 2.702
3.487 -3.487 2.702
3.487 3.487 -2.702
Ru Pt Rh
2 4 2
direct
0.000 0.000 0.000 Ru
0.750 0.250 0.500 Ru
0.116 0.625 0.991 Pt
0.375 0.366 0.491 Pt
0.634 0.125 0.009 Pt
0.875 0.884 0.509 Pt
0.250 0.750 0.500 Rh
0.500 0.500 0.000 Rh
```

Properties
Energy of formation from the pure elements   0.508 eV/atom
Uncorrected energy   -0.4902 Ry/atom
Volume   16.43 Å³ per atom
ρ   15.0 g/cm3
Distance to the lowest polymorph of the same formula   211 kJ/mol of formula units

---

A plane-wave DFT calculation with PBE was carried out for Ac2GeBi after structural relaxation.

```
Ac2GeBi
1.0
0.000 4.063 4.063
4.063 0.000 4.063
4.063 4.063 0.000
Ac Ge Bi
2 1 1
direct
0.250 0.250 0.250 Ac
0.750 0.750 0.750 Ac
0.000 0.000 0.000 Ge
0.500 0.500 0.500 Bi
```

Properties
Energy of formation from the pure elements   -0.577 eV/atom
Uncorrected energy   -0.3495 Ry/atom
Volume   33.54 Å³ per atom
ρ   9.1 g/cm3
Distance to the lowest polymorph of the same formula   75 kJ/mol of formula units

---

A plane-wave DFT calculation with PBE was carried out for MgHW2Au after structural relaxation.

```
MgHW2Au
1.0
5.126 0.000 0.000
0.000 5.126 0.000
0.000 0.000 2.923
Mg H W Au
1 1 2 1
direct
0.000 0.000 0.000 Mg
0.000 0.000 0.500 H
0.000 0.500 0.000 W
0.500 0.000 0.000 W
0.500 0.500 0.500 Au
```

Properties
Uncorrected energy   -0.3793 Ry/atom
Volume   15.36 Å³ per atom
ρ   12.8 g/cm3

---

A plane-wave DFT calculation with PBE was carried out for InGeS2N after structural relaxation.

```
InGeS2N
1.0
4.936 0.000 0.000
0.000 4.936 0.000
0.000 0.000 3.672
In Ge S N
1 1 2 1
direct
0.000 0.000 0.000 In
0.500 0.500 0.500 Ge
0.000 0.500 0.500 S
0.500 0.000 0.500 S
0.500 0.500 0.000 N
```

Properties
Uncorrected energy   -0.3188 Ry/atom
Volume   17.89 Å³ per atom
ρ   4.9 g/cm3
Formation energy from raw total energies   0.450 eV per atom
Distance to the lowest polymorph of the same formula   0 kJ/mol of formula units

---

A plane-wave DFT calculation with PBE was carried out for CaSc2Au after structural relaxation.

```
CaSc2Au
1.0
3.067 -5.417 0.000
3.067 5.417 0.000
-1.541 0.000 2.905
Ca Sc Au
1 2 1
direct
0.000 0.000 0.000 Ca
0.000 0.500 0.500 Sc
0.500 0.000 0.500 Sc
0.500 0.500 0.000 Au
```

Properties
Energy of formation from the pure elements   -0.081 eV/atom
Uncorrected energy   -0.3356 Ry/atom
Volume   24.13 Å³ per atom
ρ   5.6 g/cm3
Distance to the lowest polymorph of the same formula   103 kJ/mol of formula units

---

A plane-wave DFT calculation with PBE was carried out for ZrTiH4 after structural relaxation.

```
ZrTiH4
1.0
-2.394 2.394 4.256
2.394 -2.394 4.256
2.394 2.394 -4.256
Zr Ti H
2 2 8
direct
0.375 0.625 0.750 Zr
0.625 0.375 0.250 Zr
0.125 0.875 0.250 Ti
0.875 0.125 0.750 Ti
0.000 0.230 0.230 H
0.000 0.770 0.770 H
0.230 0.000 0.730 H
0.230 0.500 0.230 H
0.500 0.230 0.730 H
0.500 0.770 0.270 H
0.770 0.000 0.270 H
0.770 0.500 0.770 H
```

Properties
Uncorrected energy   -0.4040 Ry/atom
Volume   8.13 Å³ per atom
ρ   4.9 g/cm3
Distance to the lowest polymorph of the same formula   0 kJ/mol of formula units

---

A plane-wave DFT calculation with PBE was carried out for UIrRu2 after structural relaxation.

```
UIrRu2
1.0
4.043 0.000 0.000
0.000 4.043 0.000
0.000 0.000 3.955
U Ir Ru
1 1 2
direct
0.000 0.000 0.000 U
0.500 0.500 0.000 Ir
0.000 0.500 0.500 Ru
0.500 0.000 0.500 Ru
```

Properties
Energy of formation from the pure elements   -0.484 eV/atom
Uncorrected energy   -0.7467 Ry/atom
Volume   16.16 Å³ per atom
ρ   16.2 g/cm3
Distance to the lowest polymorph of the same formula   0 kJ/mol of formula units

---

A plane-wave DFT calculation with PBE was carried out for Cr4CdSi after structural relaxation.

```
Cr4CdSi
1.0
0.000 3.432 3.432
3.432 0.000 3.432
3.432 3.432 0.000
Cr Cd Si
4 1 1
direct
0.376 0.376 0.376 Cr
0.376 0.376 0.873 Cr
0.376 0.873 0.376 Cr
0.873 0.376 0.376 Cr
0.750 0.750 0.750 Cd
0.000 0.000 0.000 Si
```

Properties
Uncorrected energy   -0.5166 Ry/atom
Volume   13.48 Å³ per atom
ρ   7.2 g/cm3
Formation energy from raw total energies   0.443 eV per atom

---

A plane-wave DFT calculation with PBE was carried out for BeTcOs2 after structural relaxation.

```
BeTcOs2
1.0
1.412 -2.273 0.000
1.412 2.273 0.000
0.000 0.000 8.355
Be Tc Os
1 1 2
direct
0.000 0.000 0.000 Be
0.000 0.000 0.500 Tc
0.500 0.500 0.228 Os
0.500 0.500 0.772 Os
```

Properties
Energy of formation from the pure elements   0.312 eV/atom
Uncorrected energy   -0.6487 Ry/atom
Volume   13.41 Å³ per atom
ρ   15.1 g/cm3

---

A plane-wave DFT calculation with PBE was carried out for Sr2BeAsP after structural relaxation.

```
Sr2BeAsP
1.0
3.989 0.000 0.000
0.000 8.184 0.000
0.000 0.000 7.558
Sr Be As P
4 2 2 2
direct
0.250 0.018 0.236 Sr
0.250 0.482 0.236 Sr
0.750 0.518 0.764 Sr
0.750 0.982 0.764 Sr
0.250 0.250 0.598 Be
0.750 0.750 0.402 Be
0.250 0.250 0.892 As
0.750 0.750 0.108 As
0.250 0.750 0.546 P
0.750 0.250 0.454 P
```

Properties
Energy of formation from the pure elements   -0.883 eV/atom
Uncorrected energy   -0.3170 Ry/atom
Volume   24.67 Å³ per atom
ρ   3.9 g/cm3

---

A plane-wave DFT calculation with PBE was carried out for Pr4TlZn3 after structural relaxation.

```
Pr4TlZn3
1.0
2.659 1.535 8.793
-2.659 1.535 8.793
0.000 -3.070 8.793
Pr Tl Zn
4 1 3
direct
0.120 0.120 0.120 Pr
0.370 0.370 0.370 Pr
0.630 0.630 0.630 Pr
0.880 0.880 0.880 Pr
0.500 0.500 0.500 Tl
0.000 0.000 0.000 Zn
0.250 0.250 0.250 Zn
0.750 0.750 0.750 Zn
```

Properties
Energy of formation from the pure elements   -0.313 eV/atom
Uncorrected energy   -0.2555 Ry/atom
Volume   26.92 Å³ per atom
ρ   7.4 g/cm3
Distance to the lowest polymorph of the same formula   0 kJ/mol of formula units

---

A plane-wave DFT calculation with PBE was carried out for GdThSnAu after structural relaxation.

```
GdThSnAu
1.0
0.000 3.773 3.773
3.773 0.000 3.773
3.773 3.773 0.000
Gd Th Sn Au
1 1 1 1
direct
0.000 0.000 0.000 Gd
0.500 0.500 0.500 Th
0.250 0.250 0.250 Sn
0.750 0.750 0.750 Au
```

Properties
Energy of formation from the pure elements   -0.583 eV/atom
Uncorrected energy   -0.5717 Ry/atom
Volume   26.85 Å³ per atom
ρ   10.9 g/cm3

---

A plane-wave DFT calculation with PBE was carried out for SiOsPt2 after structural relaxation.

```
SiOsPt2
1.0
3.805 0.000 0.000
0.000 1.419 5.475
0.000 -1.419 5.475
Si Os Pt
1 1 2
direct
0.000 0.000 0.000 Si
0.500 0.578 0.578 Os
0.000 0.222 0.222 Pt
0.500 0.858 0.858 Pt
```

Properties
Uncorrected energy   -0.5405 Ry/atom
Volume   14.77 Å³ per atom
ρ   17.1 g/cm3
Formation energy from raw total energies   -0.170 eV per atom

---

A plane-wave DFT calculation with PBE was carried out for Li3Ga4Ag2Au2 after structural relaxation.

```
Li3Ga4Ag2Au2
1.0
4.551 0.000 0.000
-2.275 3.941 0.000
0.000 0.000 10.558
Li Ga Ag Au
3 4 2 2
direct
0.000 0.000 0.000 Li
0.000 0.000 0.279 Li
0.000 0.000 0.721 Li
0.333 0.667 0.339 Ga
0.333 0.667 0.839 Ga
0.667 0.333 0.161 Ga
0.667 0.333 0.661 Ga
0.333 0.667 0.584 Ag
0.667 0.333 0.416 Ag
0.333 0.667 0.095 Au
0.667 0.333 0.905 Au
```

Properties
Energy of formation from the pure elements   -0.290 eV/atom
Uncorrected energy   -0.2225 Ry/atom
Volume   17.21 Å³ per atom
ρ   8.0 g/cm3

---

A plane-wave DFT calculation with PBE was carried out for Pr4Nd4Y3 after structural relaxation.

```
Pr4Nd4Y3
1.0
-1.832 2.596 20.107
1.832 -2.596 20.107
1.832 2.596 -20.107
Pr Nd Y
4 4 3
direct
0.046 0.046 0.000 Pr
0.319 0.319 0.000 Pr
0.681 0.681 0.000 Pr
0.954 0.954 0.000 Pr
0.227 0.227 0.000 Nd
0.409 0.409 0.000 Nd
0.591 0.591 0.000 Nd
0.773 0.773 0.000 Nd
0.136 0.136 0.000 Y
0.500 0.500 0.000 Y
0.864 0.864 0.000 Y
```

Properties
Energy of formation from the pure elements   0.012 eV/atom
Uncorrected energy   -0.3838 Ry/atom
Volume   34.76 Å³ per atom
ρ   6.1 g/cm3
Distance to the lowest polymorph of the same formula   0 kJ/mol of formula units

---

A plane-wave DFT calculation with PBE was carried out for La2TbCeY6 after structural relaxation.

```
La2TbCeY6
1.0
5.813 -3.373 0.000
5.813 3.373 0.000
-3.107 0.000 8.624
La Tb Ce Y
2 1 1 6
direct
0.081 0.081 0.171 La
0.919 0.919 0.829 La
0.000 0.000 0.500 Tb
0.500 0.500 0.000 Ce
0.065 0.576 0.197 Y
0.370 0.370 0.579 Y
0.424 0.935 0.803 Y
0.576 0.065 0.197 Y
0.630 0.630 0.421 Y
0.935 0.424 0.803 Y
```

Properties
Energy of formation from the pure elements   0.229 eV/atom
Uncorrected energy   -0.4183 Ry/atom
Volume   33.82 Å³ per atom
ρ   5.5 g/cm3

---

A plane-wave DFT calculation with PBE was carried out for Pm3Tm8Pu after structural relaxation.

```
Pm3Tm8Pu
1.0
-4.307 4.307 5.628
4.307 -4.307 5.628
4.307 4.307 -5.628
Pm Tm Pu
3 8 1
direct
0.000 0.000 0.000 Pm
0.250 0.750 0.500 Pm
0.750 0.250 0.500 Pm
0.142 0.394 0.000 Tm
0.237 0.237 0.541 Tm
0.304 0.763 0.000 Tm
0.394 0.142 0.000 Tm
0.606 0.606 0.748 Tm
0.696 0.696 0.459 Tm
0.763 0.304 0.000 Tm
0.858 0.858 0.252 Tm
0.500 0.500 0.000 Pu
```

Properties
Energy of formation from the pure elements   0.590 eV/atom
Uncorrected energy   -0.3508 Ry/atom
Volume   34.80 Å³ per atom
ρ   8.1 g/cm3